Version A
A geometry-optimized YAsSe2S structure, computed with PBE.

Properties
total moment	0.00	μB per formula unit
space group	P4/mmm (123)

```
5
Lattice="4.8462 0.0000 0.0000 0.0000 4.8462 0.0000 0.0000 0.0000 4.8471" Properties=species:S:1:pos:R:3 pbc="T T T"
Y 0.0000 0.0000 0.0000
As 2.4231 2.4231 0.0000
Se 0.0000 2.4231 2.4235
Se 2.4231 0.0000 2.4235
S 2.4231 2.4231 2.4235
```

=====

Version B
A geometry-optimized YAsSe2S structure, computed with PBE.

Properties
total moment	1.31	μB per formula unit
space group	P4/mmm (123)

```
5
Lattice="5.3860 0.0000 0.0000 0.0000 5.3860 0.0000 0.0000 0.0000 5.7300" Properties=species:S:1:pos:R:3 pbc="T T T"
Y 0.0000 0.0000 0.0000
As 0.0000 0.0000 2.8650
Se 0.0000 2.6930 0.0000
Se 2.6930 0.0000 0.0000
S 2.6930 2.6930 2.8650
```

=====

Order from most stable to least stable according to the calculation: version A, version B

=====

Version A
A geometry-optimized ZrAsSe2S structure, computed with PBE.

Properties
total moment	0.00	μB per formula unit
space group	P4/mmm (123)

```
5
Lattice="4.7015 0.0000 0.0000 0.0000 4.7015 0.0000 0.0000 0.0000 4.8647" Properties=species:S:1:pos:R:3 pbc="T T T"
Zr 0.0000 0.0000 0.0000
As 2.3507 2.3507 0.0000
Se 0.0000 2.3507 2.4324
Se 2.3507 0.0000 2.4324
S 2.3507 2.3507 2.4324
```

=====

Version B
A geometry-optimized ZrAsSe2S structure, computed with PBE.

Properties
total moment	0.88	μB per formula unit
space group	P4/mmm (123)

```
5
Lattice="5.1004 0.0000 0.0000 0.0000 5.1004 0.0000 0.0000 0.0000 5.4745" Properties=species:S:1:pos:R:3 pbc="T T T"
Zr 0.0000 0.0000 0.0000
As 0.0000 0.0000 2.7373
Se 0.0000 2.5502 0.0000
Se 2.5502 0.0000 0.0000
S 2.5502 2.5502 2.7373
```

=====

Order from most stable to least stable according to the calculation: version B, version A

=====

Version A
A geometry-optimized SiAsS2 structure, computed with PBE.

Properties
total moment	0.00	μB per formula unit
space group	I-42d (122)

```
8
Lattice="-3.3578 3.3578 3.2920 3.3578 -3.3578 3.2920 3.3578 3.3578 -3.2920" Properties=species:S:1:pos:R:3 pbc="T T T"
Si 0.0000 0.0000 0.0000
Si 0.0000 3.3578 1.6460
As 3.3578 0.0000 1.6460
As 0.0000 0.0000 3.2920
S 5.0367 1.4768 -0.8230
S 1.4768 1.6789 0.8230
S -1.6789 1.8811 2.4690
S 1.8811 1.6789 4.1150
```

=====

Version B
A geometry-optimized SiAsS2 structure, computed with PBE.

Properties
total moment	0.00	μB per formula unit
space group	R-3m (166)

```
4
Lattice="1.6822 0.9712 7.7715 -1.6822 0.9712 7.7715 0.0000 -1.9424 7.7715" Properties=species:S:1:pos:R:3 pbc="T T T"
Si 0.0000 0.0000 0.0000
As 0.0000 0.0000 11.6572
S 0.0000 0.0000 9.1041
S 0.0000 0.0000 14.2103
```

=====

Version C
A geometry-optimized SiAsS2 structure, computed with PBE.

Properties
total moment	0.00	μB per formula unit
space group	Fm-3m (225)

```
4
Lattice="0.0000 3.2220 3.2220 3.2220 0.0000 3.2220 3.2220 3.2220 0.0000" Properties=species:S:1:pos:R:3 pbc="T T T"
Si 0.0000 0.0000 0.0000
As 3.2220 3.2220 3.2220
S 1.6110 1.6110 1.6110
S 4.8330 4.8330 4.8330
```

=====

Order from most stable to least stable according to the calculation: version B, version A, version C

=====

Version A
A geometry-optimized Sm2AsS structure, computed with PBE.

Properties
total moment	0.00	μB per formula unit
space group	R3m (160)

```
4
Lattice="2.0220 1.1674 7.1243 -2.0220 1.1674 7.1243 0.0000 -2.3348 7.1243" Properties=species:S:1:pos:R:3 pbc="T T T"
Sm 0.0000 0.0000 0.0000
Sm 0.0000 0.0000 3.7114
As 0.0000 0.0000 12.5637
S 0.0000 0.0000 8.9452
```

=====

Version B
A geometry-optimized Sm2AsS structure, computed with PBE.

Properties
total moment	0.00	μB per formula unit
space group	R-3m (166)

```
4
Lattice="2.0644 1.1919 6.6924 -2.0644 1.1919 6.6924 0.0000 -2.3838 6.6924" Properties=species:S:1:pos:R:3 pbc="T T T"
Sm 0.0000 0.0000 5.0066
Sm 0.0000 0.0000 15.0705
As 0.0000 0.0000 0.0000
S 0.0000 0.0000 10.0386
```

=====

Order from most stable to least stable according to the calculation: version B, version A